# TlCrCd2 | Alexandria via LeMat-Bulk | PBE | relaxed
# E = -12.427 eV per formula unit
# crystal system = tetragonal
# E above lowest polymorph = 56.2 meV/atom
data_TlCrCd2
_chemical_formula_sum 'Tl1 Cr1 Cd2'
_symmetry_space_group_name_H-M 'P 4 m m'
_symmetry_Int_Tables_number 99
_symmetry_space_group_name_Hall 'P 4 -2'
_cell_length_a 3.593
_cell_length_b 3.593
_cell_length_c 6.841
_cell_angle_alpha 90.00
_cell_angle_beta 90.00
_cell_angle_gamma 90.00
loop_
_atom_site_label
_atom_site_fract_x
_atom_site_fract_y
_atom_site_fract_z
Tl1 0.000 0.000 0.000
Cr1 0.500 0.500 0.756
Cd1 0.000 0.000 0.535
Cd2 0.500 0.500 0.287

---

# Tl2CrCd | Alexandria via LeMat-Bulk | PBE | relaxed
# E = -13.502 eV per formula unit
# crystal system = cubic
# E above lowest polymorph = 92.8 meV/atom
data_Tl2CrCd
_chemical_formula_sum 'Tl8 Cr4 Cd4'
_symmetry_space_group_name_H-M 'F -4 3 m'
_symmetry_Int_Tables_number 216
_symmetry_space_group_name_Hall 'F -4 2 3'
_cell_length_a 7.341
_cell_length_b 7.341
_cell_length_c 7.341
_cell_angle_alpha 90.00
_cell_angle_beta 90.00
_cell_angle_gamma 90.00
loop_
_atom_site_label
_atom_site_fract_x
_atom_site_fract_y
_atom_site_fract_z
Tl1 0.000 0.000 0.000
Tl2 0.250 0.250 0.250
Cr1 0.250 0.250 0.750
Cd1 0.000 0.000 0.500

---

# TlCrCd2 | Alexandria via LeMat-Bulk | PBE | relaxed
# E = -12.357 eV per formula unit
# crystal system = monoclinic
# E above lowest polymorph = 73.6 meV/atom
data_TlCrCd2
_chemical_formula_sum 'Tl1 Cr1 Cd2'
_symmetry_space_group_name_H-M 'P 1 2/m 1'
_symmetry_Int_Tables_number 10
_symmetry_space_group_name_Hall '-P 2y'
_cell_length_a 5.091
_cell_length_b 3.285
_cell_length_c 5.452
_cell_angle_alpha 90.00
_cell_angle_beta 106.21
_cell_angle_gamma 90.00
loop_
_atom_site_label
_atom_site_fract_x
_atom_site_fract_y
_atom_site_fract_z
Tl1 0.000 0.000 0.000
Cr1 0.500 0.500 0.000
Cd1 0.000 0.500 0.500
Cd2 0.500 0.000 0.500

---

# Tm2CrCd | Alexandria via LeMat-Bulk | PBE | relaxed
# E = -19.503 eV per formula unit
# crystal system = tetragonal
# E above lowest polymorph = 0.0 meV/atom
data_Tm2CrCd
_chemical_formula_sum 'Tm2 Cr1 Cd1'
_symmetry_space_group_name_H-M 'P 4/m m m'
_symmetry_Int_Tables_number 123
_symmetry_space_group_name_Hall '-P 4 2'
_cell_length_a 3.487
_cell_length_b 3.487
_cell_length_c 7.668
_cell_angle_alpha 90.00
_cell_angle_beta 90.00
_cell_angle_gamma 90.00
loop_
_atom_site_label
_atom_site_fract_x
_atom_site_fract_y
_atom_site_fract_z
Tm1 0.000 0.000 0.225
Cr1 0.500 0.500 0.000
Cd1 0.500 0.500 0.500